Record 1
Ac2Zn4Cd3Hg after structural relaxation, computed with GGA-PBE.

Cell lengths 4.7027, 4.7027, 10.9195 Å; angles 90.00, 90.00, 90.00 degrees
Closest atoms and distances in Å follow each position.
Atoms (fractional coordinates):
Ac (0.5000, 0.0000, 0.2455)  8 Zn 3.57, 6 Cd 3.58-3.64, 2 Hg 3.64
Ac (0.0000, 0.5000, 0.7545)  8 Zn 3.57, 6 Cd 3.58-3.64, 2 Hg 3.64
Zn (0.5000, 0.5000, 0.0000)  4 Cd 2.72
Zn (0.0000, 0.0000, 0.0000)  4 Cd 2.72
Zn (0.5000, 0.0000, 0.6352)  3 Cd 2.62-2.78, 2 Hg 2.78
Zn (0.0000, 0.5000, 0.3648)  3 Cd 2.62-2.78, 2 Hg 2.78
Cd (0.0000, 0.0000, 0.5000)  4 Zn 2.78
Cd (0.5000, 0.0000, 0.8749)  5 Zn 2.62-2.72
Cd (0.0000, 0.5000, 0.1251)  5 Zn 2.62-2.72
Hg (0.5000, 0.5000, 0.5000)  4 Zn 2.78

Results
As for the space group: P-4m2 (115).

Record 2
Ac3Zn2CdHg6 after structural relaxation, computed with GGA-PBE.

Cell lengths 6.5981, 6.5981, 9.2855 Å; angles 90.00, 90.00, 120.00 degrees
Closest atoms and distances in Å follow each position.
Atoms (fractional coordinates):
Ac (0.3333, 0.6667, 0.6241)  9 Hg 3.44-3.71, 1 Zn 3.49
Ac (0.6667, 0.3333, 0.3759)  9 Hg 3.44-3.71, 1 Zn 3.49
Ac (0.0000, 0.0000, 0.0000)  6 Hg 3.26
Zn (0.6667, 0.3333, 0.9996)  3 Hg 3.07
Zn (0.3333, 0.6667, 0.0004)  3 Hg 3.07
Cd (0.0000, 0.0000, 0.5000)  6 Hg 2.96
Hg (0.6384, 0.8192, 0.2720)  1 Cd 2.96, 2 Hg 3.02, 1 Zn 3.07, 1 Ac 3.26
Hg (0.1808, 0.3616, 0.2720)  1 Cd 2.96, 2 Hg 3.02, 1 Zn 3.07, 1 Ac 3.26
Hg (0.1808, 0.8192, 0.2720)  1 Cd 2.96, 2 Hg 3.02, 1 Zn 3.07, 1 Ac 3.26
Hg (0.8192, 0.6384, 0.7280)  1 Cd 2.96, 2 Hg 3.02, 1 Zn 3.07, 1 Ac 3.26
Hg (0.3616, 0.1808, 0.7280)  1 Cd 2.96, 2 Hg 3.02, 1 Zn 3.07, 1 Ac 3.26
Hg (0.8192, 0.1808, 0.7280)  1 Cd 2.96, 2 Hg 3.02, 1 Zn 3.07, 1 Ac 3.26

Results
As for the space group: P-3m1 (164).

Record 3
Ac2Zn4CdHg3 after structural relaxation, computed with GGA-PBE.

Cell lengths 4.6793, 4.6793, 10.9695 Å; angles 90.00, 90.00, 90.00 degrees
Closest atoms and distances in Å follow each position.
Atoms (fractional coordinates):
Ac (0.5000, 0.0000, 0.2432)  6 Hg 3.54-3.66, 8 Zn 3.55-3.57, 2 Cd 3.66
Ac (0.0000, 0.5000, 0.7568)  6 Hg 3.54-3.66, 8 Zn 3.55-3.57, 2 Cd 3.66
Zn (0.5000, 0.5000, 0.0000)  4 Hg 2.72
Zn (0.0000, 0.0000, 0.0000)  4 Hg 2.72
Zn (0.5000, 0.0000, 0.6341)  3 Hg 2.62-2.76, 2 Cd 2.76
Zn (0.0000, 0.5000, 0.3659)  3 Hg 2.62-2.76, 2 Cd 2.76
Cd (0.5000, 0.5000, 0.5000)  4 Zn 2.76
Hg (0.0000, 0.0000, 0.5000)  4 Zn 2.76
Hg (0.5000, 0.0000, 0.8727)  5 Zn 2.62-2.72
Hg (0.0000, 0.5000, 0.1273)  5 Zn 2.62-2.72

Results
As for the space group: P-4m2 (115).

Record 4
AcHo2Cd6 after structural relaxation, computed with GGA-PBE.

Cell lengths 3.5351, 8.7568, 8.7568 Å; angles 120.00, 90.00, 90.00 degrees
Closest atoms and distances in Å follow each position.
Atoms (fractional coordinates):
Ac (0.0000, 0.0000, 0.0000)  12 Cd 3.46, 2 Ac 3.54
Ho (0.0000, 0.3333, 0.6667)  12 Cd 3.39, 2 Ho 3.54
Ho (0.0000, 0.6667, 0.3333)  12 Cd 3.39, 2 Ho 3.54
Cd (0.5000, 0.3403, 0.3403)  3 Cd 2.80-2.98
Cd (0.5000, 0.6597, 0.6597)  3 Cd 2.80-2.98
Cd (0.5000, 0.0000, 0.6597)  3 Cd 2.80-2.98
Cd (0.5000, 0.6597, 0.0000)  3 Cd 2.80-2.98
Cd (0.5000, 0.3403, 0.0000)  3 Cd 2.80-2.98
Cd (0.5000, 0.0000, 0.3403)  3 Cd 2.80-2.98

Results
As for the space group: P6/mmm (191).

Record 5
Ac3HoCd2 after structural relaxation, computed with GGA-PBE.

Cell lengths 4.0299, 4.0299, 13.0960 Å; angles 90.00, 90.00, 90.00 degrees
Closest atoms and distances in Å follow each position.
Atoms (fractional coordinates):
Ac (0.0000, 0.0000, 0.0000)  8 Cd 3.55
Ac (0.0000, 0.0000, 0.6851)  4 Cd 3.49, 4 Ho 3.74
Ac (0.0000, 0.0000, 0.3149)  4 Cd 3.49, 4 Ho 3.74
Ho (0.5000, 0.5000, 0.5000)  8 Ac 3.74, 4 Ho 4.03
Cd (0.5000, 0.5000, 0.8383)  8 Ac 3.49-3.55
Cd (0.5000, 0.5000, 0.1617)  8 Ac 3.49-3.55

Results
As for the space group: P4/mmm (123).

Record 6
Ac2HoCd2 after structural relaxation, computed with GGA-PBE.

Cell lengths 4.1136, 6.9976, 6.9976 Å; angles 65.69, 72.91, 72.91 degrees
Closest atoms and distances in Å follow each position.
Atoms (fractional coordinates):
Ac (0.2189, 0.2811, 0.2811)  6 Cd 3.51-3.85, 2 Ho 3.72
Ac (0.7811, 0.7189, 0.7189)  6 Cd 3.51-3.85, 2 Ho 3.72
Ho (0.0000, 0.0000, 0.0000)  4 Cd 3.08
Cd (0.5000, 0.3019, 0.6981)  1 Cd 3.01, 2 Ho 3.08
Cd (0.5000, 0.6981, 0.3019)  1 Cd 3.01, 2 Ho 3.08

Results
As for the space group: Immm (71).

Record 7
AcHo3Cd2 after structural relaxation, computed with GGA-PBE.

Cell lengths 5.4951, 9.6097, 8.9609 Å; angles 124.31, 90.00, 106.61 degrees
Closest atoms and distances in Å follow each position.
Atoms (fractional coordinates):
Ac (0.8678, 0.7357, 0.9208)  5 Cd 3.42-3.54, 5 Ho 3.64-3.82
Ac (0.1322, 0.2643, 0.0792)  5 Cd 3.42-3.54, 5 Ho 3.64-3.82
Ho (0.3036, 0.6072, 0.5991)  2 Cd 2.98-3.24, 2 Ho 3.24
Ho (0.9338, 0.8676, 0.5885)  3 Cd 3.24-3.32, 3 Ho 3.50-3.61
Ho (0.6151, 0.2302, 0.6990)  4 Cd 3.01-3.31
Ho (0.3849, 0.7698, 0.3010)  4 Cd 3.01-3.31
Ho (0.0662, 0.1324, 0.4115)  3 Cd 3.24-3.32, 3 Ho 3.50-3.61
Ho (0.6964, 0.3928, 0.4009)  2 Cd 2.98-3.24, 2 Ho 3.24
Cd (0.5039, 0.0078, 0.8454)  1 Cd 2.86, 2 Ho 2.98-3.01
Cd (0.4961, 0.9922, 0.1546)  1 Cd 2.86, 2 Ho 2.98-3.01
Cd (0.7710, 0.5420, 0.1514)  5 Ho 3.23-3.31, 3 Ac 3.43-3.54, 2 Cd 3.61
Cd (0.2290, 0.4580, 0.8486)  5 Ho 3.23-3.31, 3 Ac 3.43-3.54, 2 Cd 3.61

Results
As for the space group: C2/m (12). The relative energy among the computed polymorphs comes out at 57.2 meV/atom.

Record 8
AcHo2Cd after structural relaxation, computed with GGA-PBE.

Cell lengths 3.7482, 3.7482, 9.0275 Å; angles 90.00, 90.00, 90.00 degrees
Closest atoms and distances in Å follow each position.
Atoms (fractional coordinates):
Ac (0.5000, 0.5000, 0.5000)  4 Ac 3.75, 8 Ho 3.76
Ho (0.0000, 0.0000, 0.7949)  4 Cd 3.23
Ho (0.0000, 0.0000, 0.2051)  4 Cd 3.23
Cd (0.5000, 0.5000, 0.0000)  8 Ho 3.23

Results
As for the space group: P4/mmm (123). The relative energy among the computed polymorphs comes out at 0.0 meV/atom.

Record 9
AcHo5Cd4 after structural relaxation, computed with GGA-PBE.

Cell lengths 3.7376, 3.7376, 20.2074 Å; angles 90.00, 90.00, 90.00 degrees
Closest atoms and distances in Å follow each position.
Atoms (fractional coordinates):
Ac (0.0000, 0.0000, 0.0000)  4 Ac 3.74, 8 Ho 3.76
Ho (0.5000, 0.5000, 0.1321)  4 Cd 3.23
Ho (0.5000, 0.5000, 0.3161)  8 Cd 3.22-3.24
Ho (0.5000, 0.5000, 0.5000)  8 Cd 3.24
Ho (0.5000, 0.5000, 0.6839)  8 Cd 3.22-3.24
Ho (0.5000, 0.5000, 0.8679)  4 Cd 3.23
Cd (0.0000, 0.0000, 0.2236)  8 Ho 3.23-3.24
Cd (0.0000, 0.0000, 0.4073)  8 Ho 3.22-3.24
Cd (0.0000, 0.0000, 0.5927)  8 Ho 3.22-3.24
Cd (0.0000, 0.0000, 0.7764)  8 Ho 3.23-3.24

Results
As for the space group: P4/mmm (123).

Record 10
Ac6HoCd5 after structural relaxation, computed with GGA-PBE.

Cell lengths 5.7462, 8.2412, 9.1963 Å; angles 90.00, 108.21, 90.00 degrees
Closest atoms and distances in Å follow each position.
Atoms (fractional coordinates):
Ac (0.8307, 0.7499, 0.6598)  7 Cd 3.51-3.69, 1 Ho 3.62
Ac (0.8307, 0.2501, 0.6598)  7 Cd 3.51-3.69, 1 Ho 3.62
Ac (0.5000, 0.2645, 0.0000)  6 Cd 3.47-3.51, 2 Ho 3.61, 1 Ac 3.88
Ac (0.5000, 0.7355, 0.0000)  6 Cd 3.47-3.51, 2 Ho 3.61, 1 Ac 3.88
Ac (0.1693, 0.7499, 0.3402)  7 Cd 3.51-3.69, 1 Ho 3.62
Ac (0.1693, 0.2501, 0.3402)  7 Cd 3.51-3.69, 1 Ho 3.62
Ho (0.0000, 0.0000, 0.0000)  8 Ac 3.61-3.62, 4 Cd 3.94-3.95
Cd (0.6650, 0.5000, 0.3343)  8 Ac 3.51-3.54
Cd (0.3461, 0.0000, 0.6904)  8 Ac 3.47-3.69
Cd (0.0000, 0.5000, 0.0000)  8 Ac 3.47-3.62
Cd (0.6539, 0.0000, 0.3096)  8 Ac 3.47-3.69
Cd (0.3350, 0.5000, 0.6657)  8 Ac 3.51-3.54

Results
As for the space group: P2/m (10).

Record 11
Ac2HoCd3 after structural relaxation, computed with GGA-PBE.

Cell lengths 3.8753, 3.8753, 12.3832 Å; angles 90.00, 90.00, 90.00 degrees
Closest atoms and distances in Å follow each position.
Atoms (fractional coordinates):
Ac (0.5000, 0.5000, 0.8200)  8 Cd 3.53-3.56, 4 Ac 3.88
Ac (0.5000, 0.5000, 0.1800)  8 Cd 3.53-3.56, 4 Ac 3.88
Ho (0.5000, 0.5000, 0.5000)  8 Cd 3.22
Cd (0.0000, 0.0000, 0.0000)  8 Ac 3.53, 4 Cd 3.88
Cd (0.0000, 0.0000, 0.6360)  4 Ho 3.22, 1 Cd 3.37, 4 Ac 3.56
Cd (0.0000, 0.0000, 0.3640)  4 Ho 3.22, 1 Cd 3.37, 4 Ac 3.56

Results
As for the space group: P4/mmm (123).

Record 12
Ac4HoCd after structural relaxation, computed with GGA-PBE.

Cell lengths 3.9612, 3.9612, 14.8640 Å; angles 90.00, 90.00, 90.00 degrees
Closest atoms and distances in Å follow each position.
Atoms (fractional coordinates):
Ac (0.5000, 0.5000, 0.1668)  4 Ho 3.74, 8 Ac 3.96-3.97
Ac (0.0000, 0.0000, 0.6441)  4 Cd 3.53
Ac (0.0000, 0.0000, 0.3559)  4 Cd 3.53
Ac (0.5000, 0.5000, 0.8332)  4 Ho 3.74, 8 Ac 3.96-3.97
Ho (0.0000, 0.0000, 0.0000)  8 Ac 3.74, 4 Ho 3.96
Cd (0.5000, 0.5000, 0.5000)  8 Ac 3.53

Results
As for the space group: P4/mmm (123).

no.,E (eV per atom),energy of formation (eV/atom)
1,-1.893,-0.26
2,-1.655,-0.19
3,-1.809,-0.30
4,-2.372,-0.29
5,-3.282,-0.16
6,-3.070,-0.14
7,-3.407,-0.13
8,-3.659,-0.11
9,-3.303,-0.24
10,-3.024,-0.21
11,-2.871,-0.28
12,-3.722,-0.07